Below is Ce2AgGe4Au3 after structural relaxation, with properties calculated at the PBE-GGA level.

POSCAR file:
```
Ce2AgGe4Au3
1.0
4.433 0.000 0.000
0.000 4.433 0.000
0.000 0.000 10.726
Ce Ag Ge Au
2 1 4 3
Cartesian
0.000 2.217 2.661 Ce
2.217 0.000 8.065 Ce
2.217 2.217 0.000 Ag
0.000 0.000 5.363 Ge
0.000 2.217 9.271 Ge
2.217 0.000 1.455 Ge
2.217 2.217 5.363 Ge
0.000 0.000 0.000 Au
0.000 2.217 6.776 Au
2.217 0.000 3.950 Au
```

Summary:
The formation energy is -445 kJ/mol of formula units. The value obtained for the total energy is -4.763 eV/atom. The value obtained for the density of states at the Fermi level is 1.5464 states/eV/atom.